Material: Sc12Al3Ru
Method: DFT, PBE
State: optimized geometry

Cell and atoms, written as CIF:
```
data_Sc12Al3Ru
_cell_length_a 4.433
_cell_length_b 4.433
_cell_length_c 17.285
_cell_angle_alpha 90.00
_cell_angle_beta 90.00
_cell_angle_gamma 90.00
_space_group_name_H-M_alt 'P 4/m m m'
_space_group_IT_number 123
_space_group_name_Hall '-P 4 2'
loop_
_atom_site_label
_atom_site_type_symbol
_atom_site_fract_x
_atom_site_fract_y
_atom_site_fract_z
_atom_site_occupancy
Sc1 Sc 0.000 0.000 0.000 1
Sc2 Sc 0.000 0.000 0.244 1
Sc3 Sc 0.000 0.000 0.500 1
Sc4 Sc 0.000 0.500 0.112 1
Sc5 Sc 0.000 0.500 0.372 1
Al1 Al 0.500 0.500 0.246 1
Al2 Al 0.500 0.500 0.500 1
Ru1 Ru 0.500 0.500 0.000 1
```

## Properties
Total moment: 0.12 μB per formula unit
Mass density: 3.528 g/cm3
Formation enthalpy at 0 K: -0.220 eV/atom


Material: Sc2AlRu2
Method: DFT, PBE
State: optimized geometry

Cell and atoms, written as CIF:
```
data_Sc2AlRu2
_cell_length_a 6.587
_cell_length_b 6.587
_cell_length_c 4.050
_cell_angle_alpha 90.00
_cell_angle_beta 90.00
_cell_angle_gamma 90.00
_space_group_name_H-M_alt 'P 4/m b m'
_space_group_IT_number 127
_space_group_name_Hall '-P 4 2ab'
loop_
_atom_site_label
_atom_site_type_symbol
_atom_site_fract_x
_atom_site_fract_y
_atom_site_fract_z
_atom_site_occupancy
Sc1 Sc 0.172 0.328 0.000 1
Al1 Al 0.000 0.000 0.500 1
Ru1 Ru 0.142 0.642 0.500 1
```

## Properties
Total moment: 0.00 μB per formula unit
Mass density: 6.030 g/cm3
Formation enthalpy at 0 K: -0.547 eV/atom


Material: ScAl4Ru
Method: DFT, PBE
State: optimized geometry

Cell and atoms, written as CIF:
```
data_ScAl4Ru
_cell_length_a 6.617
_cell_length_b 6.617
_cell_length_c 10.092
_cell_angle_alpha 90.00
_cell_angle_beta 90.00
_cell_angle_gamma 90.00
_space_group_name_H-M_alt 'I 4/m c m'
_space_group_IT_number 140
_space_group_name_Hall '-I 4 2c'
loop_
_atom_site_label
_atom_site_type_symbol
_atom_site_fract_x
_atom_site_fract_y
_atom_site_fract_z
_atom_site_occupancy
Sc1 Sc 0.000 0.000 0.000 1
Al1 Al 0.150 0.350 0.157 1
Ru1 Ru 0.000 0.000 0.250 1
```

## Properties
Total moment: 0.00 μB per formula unit
Mass density: 3.817 g/cm3
Formation enthalpy at 0 K: -0.325 eV/atom


Material: Sc3AlRu
Method: DFT, PBE
State: optimized geometry

Cell and atoms, written as CIF:
```
data_Sc3AlRu
_cell_length_a 4.945
_cell_length_b 4.945
_cell_length_c 4.945
_cell_angle_alpha 90.00
_cell_angle_beta 90.00
_cell_angle_gamma 90.00
_space_group_name_H-M_alt 'P m -3 m'
_space_group_IT_number 221
_space_group_name_Hall '-P 4 2 3'
loop_
_atom_site_label
_atom_site_type_symbol
_atom_site_fract_x
_atom_site_fract_y
_atom_site_fract_z
_atom_site_occupancy
Sc1 Sc 0.000 0.000 0.500 1
Al1 Al 0.500 0.500 0.500 1
Ru1 Ru 0.000 0.000 0.000 1
```

## Properties
Total moment: 0.00 μB per formula unit
Mass density: 3.611 g/cm3
Energy relative to the lowest polymorph listed for this composition: 0 meV per atom
Formation enthalpy at 0 K: -0.025 eV/atom